[1]
VASP calculation (PBE-GGA) on Ta4S9Br8 after structural relaxation.

```
data_Ta4S9Br8
_chemical_formula_sum 'Ta8 S18 Br16'
_cell_length_a 13.6048
_cell_length_b 13.6048
_cell_length_c 7.4956
_cell_angle_alpha 90.00
_cell_angle_beta 90.00
_cell_angle_gamma 90.00
_space_group_name_H-M_alt 'I 4 m m'
_space_group_IT_number 107
_space_group_name_Hall 'I 4 -2'
loop_
_atom_site_label
_atom_site_type_symbol
_atom_site_fract_x
_atom_site_fract_y
_atom_site_fract_z
Ta1 Ta 0.0000 0.1731 0.0000
S1 S 0.0000 0.0000 0.1022
S2 S 0.1281 0.1281 0.7715
S3 S 0.1860 0.1860 0.0033
Br1 Br 0.0000 0.2209 0.3227
Br2 Br 0.0000 0.3418 0.8671
```

Summary:
E_form (uncorrected) = -17.07 eV per formula unit
V = 1387 Å³/cell
Crystal system = tetragonal
Magnetization = 0.00 μB/cell



[2]
VASP calculation (PBE-GGA) on Ta2S4Br after structural relaxation.

```
data_Ta2S4Br
_chemical_formula_sum 'Ta8 S16 Br4'
_cell_length_a 6.9629
_cell_length_b 12.7591
_cell_length_c 6.2828
_cell_angle_alpha 90.00
_cell_angle_beta 90.00
_cell_angle_gamma 90.00
_space_group_name_H-M_alt 'I m a 2'
_space_group_IT_number 46
_space_group_name_Hall 'I 2 -2a'
loop_
_atom_site_label
_atom_site_type_symbol
_atom_site_fract_x
_atom_site_fract_y
_atom_site_fract_z
Ta1 Ta 0.0000 0.0000 0.0000
Ta2 Ta 0.2500 0.1965 0.5806
S1 S 0.0062 0.1960 0.8608
S2 S 0.2500 0.0057 0.7095
S3 S 0.2500 0.1140 0.2197
Br1 Br 0.2500 0.6116 0.7333
```

Summary:
Density of states at the Fermi level = 11.57 states/eV/cell
E_form (uncorrected) = -5.25 eV per formula unit
V = 558 Å³/cell
Crystal system = orthorhombic
Magnetization = 0.00 μB/cell



[3]
VASP calculation (PBE-GGA) on TaS3Br after structural relaxation.

```
data_TaS3Br
_chemical_formula_sum 'Ta1 S3 Br1'
_cell_length_a 4.8080
_cell_length_b 4.8080
_cell_length_c 4.8080
_cell_angle_alpha 90.00
_cell_angle_beta 90.00
_cell_angle_gamma 90.00
_space_group_name_H-M_alt 'P m -3 m'
_space_group_IT_number 221
_space_group_name_Hall '-P 4 2 3'
loop_
_atom_site_label
_atom_site_type_symbol
_atom_site_fract_x
_atom_site_fract_y
_atom_site_fract_z
Ta1 Ta 0.0000 0.0000 0.0000
S1 S 0.0000 0.0000 0.5000
Br1 Br 0.5000 0.5000 0.5000
```

Summary:
Density of states at the Fermi level = 6.34 states/eV/cell
E_form (uncorrected) = -0.56 eV per formula unit
V = 111 Å³/cell
Crystal system = cubic
Magnetization = 0.00 μB/cell



[4]
VASP calculation (PBE-GGA) on Ta3SBr7 after structural relaxation.

```
data_Ta3SBr7
_chemical_formula_sum 'Ta6 S2 Br14'
_cell_length_a 12.4058
_cell_length_b 7.1596
_cell_length_c 9.3067
_cell_angle_alpha 90.00
_cell_angle_beta 131.15
_cell_angle_gamma 90.00
_space_group_name_H-M_alt 'C 1 m 1'
_space_group_IT_number 8
_space_group_name_Hall 'C -2y'
loop_
_atom_site_label
_atom_site_type_symbol
_atom_site_fract_x
_atom_site_fract_y
_atom_site_fract_z
Ta1 Ta 0.0000 0.0000 0.0000
Ta2 Ta 0.2989 0.2989 0.9999
S1 S 0.4888 0.5000 0.2491
Br1 Br 0.0773 0.5000 0.7545
Br2 Br 0.1014 0.0000 0.8018
Br3 Br 0.2154 0.2525 0.2030
Br4 Br 0.3290 0.2484 0.7551
Br5 Br 0.4677 0.0000 0.2032
```

Summary:
E_form (uncorrected) = -10.01 eV per formula unit
V = 622 Å³/cell
Crystal system = monoclinic
Magnetization = 0.00 μB/cell



[5]
VASP calculation (PBE-GGA) on Ta2S4Br after structural relaxation.

```
data_Ta2S4Br
_chemical_formula_sum 'Ta4 S8 Br2'
_cell_length_a 6.9741
_cell_length_b 7.2153
_cell_length_c 9.0505
_cell_angle_alpha 71.72
_cell_angle_beta 72.32
_cell_angle_gamma 61.81
_space_group_name_H-M_alt 'P 1'
_space_group_IT_number 1
_space_group_name_Hall 'P 1'
loop_
_atom_site_label
_atom_site_type_symbol
_atom_site_fract_x
_atom_site_fract_y
_atom_site_fract_z
Ta1 Ta 0.0000 0.0000 0.0000
Ta2 Ta 0.0256 0.3943 0.9382
Ta3 Ta 0.4491 0.4851 0.9624
Ta4 Ta 0.9171 0.3005 0.6681
S1 S 0.1691 0.6880 0.8169
S2 S 0.2490 0.1437 0.7651
S3 S 0.2830 0.2575 0.1198
S4 S 0.3381 0.7573 0.1011
S5 S 0.7013 0.1261 0.8494
S6 S 0.7440 0.6269 0.7653
S7 S 0.7650 0.2915 0.1418
S8 S 0.8924 0.4697 0.3959
Br1 Br 0.0644 0.0259 0.4894
Br2 Br 0.7731 0.8472 0.2905
```

Summary:
Density of states at the Fermi level = 0.16 states/eV/cell
E_form (uncorrected) = -4.99 eV per formula unit
V = 375 Å³/cell
Crystal system = triclinic
Magnetization = 0.00 μB/cell



[6]
VASP calculation (PBE-GGA) on TaS3Br after structural relaxation.

```
data_TaS3Br
_chemical_formula_sum 'Ta4 S12 Br4'
_cell_length_a 4.9370
_cell_length_b 4.9370
_cell_length_c 18.6279
_cell_angle_alpha 90.00
_cell_angle_beta 90.00
_cell_angle_gamma 90.00
_space_group_name_H-M_alt 'I -4 m 2'
_space_group_IT_number 119
_space_group_name_Hall 'I -4 -2'
loop_
_atom_site_label
_atom_site_type_symbol
_atom_site_fract_x
_atom_site_fract_y
_atom_site_fract_z
Ta1 Ta 0.0000 0.0000 0.0000
Ta2 Ta 0.0000 0.5000 0.2500
S1 S 0.0000 0.2074 0.1346
S2 S 0.0000 0.5000 0.5252
Br1 Br 0.0000 0.0000 0.2977
```

Summary:
Density of states at the Fermi level = 9.99 states/eV/cell
E_form (uncorrected) = -0.93 eV per formula unit
V = 454 Å³/cell
Crystal system = tetragonal
Magnetization = 0.00 μB/cell



[7]
VASP calculation (PBE-GGA) on Ta2SBr8 after structural relaxation.

```
data_Ta2SBr8
_chemical_formula_sum 'Ta4 S2 Br16'
_cell_length_a 16.5409
_cell_length_b 9.0954
_cell_length_c 7.5223
_cell_angle_alpha 90.00
_cell_angle_beta 107.67
_cell_angle_gamma 90.00
_space_group_name_H-M_alt 'C 1 2/m 1'
_space_group_IT_number 12
_space_group_name_Hall '-C 2y'
loop_
_atom_site_label
_atom_site_type_symbol
_atom_site_fract_x
_atom_site_fract_y
_atom_site_fract_z
Ta1 Ta 0.1287 0.0000 0.2346
S1 S 0.0000 0.0000 0.0000
Br1 Br 0.1253 0.2754 0.2309
Br2 Br 0.1354 0.0000 0.5627
Br3 Br 0.2386 0.5000 0.8421
```

Summary:
Density of states at the Fermi level = 0.00 states/eV/cell
E_form (uncorrected) = -9.31 eV per formula unit
V = 1078 Å³/cell
Crystal system = monoclinic
Magnetization = 0.00 μB/cell



[8]
VASP calculation (PBE-GGA) on Ta2SBr after structural relaxation.

```
data_Ta2SBr
_chemical_formula_sum 'Ta8 S4 Br4'
_cell_length_a 6.3542
_cell_length_b 6.3542
_cell_length_c 6.3542
_cell_angle_alpha 90.00
_cell_angle_beta 90.00
_cell_angle_gamma 90.00
_space_group_name_H-M_alt 'F m -3 m'
_space_group_IT_number 225
_space_group_name_Hall '-F 4 2 3'
loop_
_atom_site_label
_atom_site_type_symbol
_atom_site_fract_x
_atom_site_fract_y
_atom_site_fract_z
Ta1 Ta 0.2500 0.2500 0.2500
S1 S 0.0000 0.0000 0.0000
Br1 Br 0.0000 0.0000 0.5000
```

Summary:
Density of states at the Fermi level = 16.55 states/eV/cell
E_form (uncorrected) = 1.51 eV per formula unit
V = 257 Å³/cell
Crystal system = cubic
Magnetization = 0.00 μB/cell



[9]
VASP calculation (PBE-GGA) on TaS3Br after structural relaxation.

```
data_TaS3Br
_chemical_formula_sum 'Ta1 S3 Br1'
_cell_length_a 4.7292
_cell_length_b 4.7292
_cell_length_c 4.7292
_cell_angle_alpha 90.00
_cell_angle_beta 90.00
_cell_angle_gamma 90.00
_space_group_name_H-M_alt 'P m -3 m'
_space_group_IT_number 221
_space_group_name_Hall '-P 4 2 3'
loop_
_atom_site_label
_atom_site_type_symbol
_atom_site_fract_x
_atom_site_fract_y
_atom_site_fract_z
Ta1 Ta 0.0000 0.0000 0.0000
S1 S 0.0000 0.5000 0.5000
Br1 Br 0.5000 0.5000 0.5000
```

Summary:
Density of states at the Fermi level = 3.56 states/eV/cell
E_form (uncorrected) = 7.19 eV per formula unit
V = 106 Å³/cell
Crystal system = cubic
Magnetization = 2.10 μB/cell



[10]
VASP calculation (PBE-GGA) on TaTlS3Br after structural relaxation.

```
data_TaTlS3Br
_chemical_formula_sum 'Ta2 Tl2 S6 Br2'
_cell_length_a 5.6007
_cell_length_b 6.4375
_cell_length_c 11.4125
_cell_angle_alpha 88.11
_cell_angle_beta 88.42
_cell_angle_gamma 89.90
_space_group_name_H-M_alt 'P -1'
_space_group_IT_number 2
_space_group_name_Hall '-P 1'
loop_
_atom_site_label
_atom_site_type_symbol
_atom_site_fract_x
_atom_site_fract_y
_atom_site_fract_z
Ta1 Ta 0.2463 0.4219 0.0671
Tl1 Tl 0.2408 0.7468 0.5772
S1 S 0.0082 0.2776 0.9145
S2 S 0.2379 0.2271 0.2284
S3 S 0.4979 0.7224 0.0855
Br1 Br 0.2449 0.2486 0.5739
```

Summary:
Density of states at the Fermi level = 6.26 states/eV/cell
E_form (uncorrected) = -3.75 eV per formula unit
V = 411 Å³/cell
Crystal system = triclinic
Magnetization = 0.00 μB/cell



[11]
VASP calculation (PBE-GGA) on TaVSBr2 after structural relaxation.

```
data_TaVSBr2
_chemical_formula_sum 'Ta1 V1 S1 Br2'
_cell_length_a 5.0935
_cell_length_b 5.0935
_cell_length_c 4.5540
_cell_angle_alpha 90.00
_cell_angle_beta 90.00
_cell_angle_gamma 90.00
_space_group_name_H-M_alt 'P 4/m m m'
_space_group_IT_number 123
_space_group_name_Hall '-P 4 2'
loop_
_atom_site_label
_atom_site_type_symbol
_atom_site_fract_x
_atom_site_fract_y
_atom_site_fract_z
Ta1 Ta 0.0000 0.0000 0.0000
V1 V 0.5000 0.5000 0.5000
S1 S 0.5000 0.5000 0.0000
Br1 Br 0.0000 0.5000 0.5000
```

Summary:
Density of states at the Fermi level = 4.79 states/eV/cell
E_form (uncorrected) = 3.16 eV per formula unit
V = 118 Å³/cell
Crystal system = tetragonal
Magnetization = 5.96 μB/cell



[12]
VASP calculation (PBE-GGA) on YTaSBr2 after structural relaxation.

```
data_YTaSBr2
_chemical_formula_sum 'Y1 Ta1 S1 Br2'
_cell_length_a 5.4053
_cell_length_b 5.4053
_cell_length_c 5.1156
_cell_angle_alpha 90.00
_cell_angle_beta 90.00
_cell_angle_gamma 90.00
_space_group_name_H-M_alt 'P 4/m m m'
_space_group_IT_number 123
_space_group_name_Hall '-P 4 2'
loop_
_atom_site_label
_atom_site_type_symbol
_atom_site_fract_x
_atom_site_fract_y
_atom_site_fract_z
Y1 Y 0.0000 0.0000 0.0000
Ta1 Ta 0.5000 0.5000 0.0000
S1 S 0.0000 0.0000 0.5000
Br1 Br 0.0000 0.5000 0.5000
```

Summary:
Density of states at the Fermi level = 5.60 states/eV/cell
E_form (uncorrected) = 4.28 eV per formula unit
V = 149 Å³/cell
Crystal system = tetragonal
Magnetization = 3.24 μB/cell